1.
Ac2PmLu | PBE-GGA | relaxed

Lattice parameters (Å, degrees): 6.0001 6.0001 6.0001 60.00 60.00 60.00
Closest atoms and distances in Å follow each position.
Fractional coordinates of all 4 atoms:
Ac 0.2500 0.2500 0.2500  4 Pm 3.67, 4 Lu 3.67
Ac 0.7500 0.7500 0.7500  4 Lu 3.67, 4 Pm 3.67
Pm 0.0000 0.0000 0.0000  8 Ac 3.67
Lu 0.5000 0.5000 0.5000  8 Ac 3.67

Summary:
- symmetry = Fm-3m, No. 225
- ΔH_f (0 K) (eV/atom) = 0.105

=====

2.
AcPmLu | PBE-GGA | relaxed

Lattice parameters (Å, degrees): 5.8822 5.8822 3.5805 90.00 90.00 120.00
Closest atoms and distances in Å follow each position.
Fractional coordinates of all 3 atoms:
Ac 0.0000 0.0000 0.0000  3 Lu 3.40, 2 Ac 3.58
Pm 0.6667 0.3333 0.5012  2 Pm 3.58, 6 Lu 3.84, 6 Ac 3.84
Lu 0.3333 0.6667 0.0036  3 Ac 3.40, 2 Lu 3.58

Summary:
- symmetry = P3m1, No. 156
- ΔH_f (0 K) (eV/atom) = 0.146

=====

3.
Ac4PmLu | PBE-GGA | relaxed

Lattice parameters (Å, degrees): 7.1352 7.1352 7.1352 60.00 60.00 60.00
Closest atoms and distances in Å follow each position.
Fractional coordinates of all 6 atoms:
Ac 0.3757 0.3757 0.3757  6 Ac 3.55-3.59
Ac 0.3757 0.3757 0.8729  6 Ac 3.55-3.59
Ac 0.3757 0.8729 0.3757  6 Ac 3.55-3.59
Ac 0.8729 0.3757 0.3757  6 Ac 3.55-3.59
Pm 0.0000 0.0000 0.0000  12 Ac 4.19, 4 Lu 4.37
Lu 0.7500 0.7500 0.7500  12 Ac 4.18, 4 Pm 4.37

Summary:
- symmetry = F-43m, No. 216
- ΔH_f (0 K) (eV/atom) = 0.382

=====

4.
Ac2PmLu | PBE-GGA | relaxed

Lattice parameters (Å, degrees): 3.8939 3.8939 9.9868 90.00 90.00 90.00
Closest atoms and distances in Å follow each position.
Fractional coordinates of all 4 atoms:
Ac 0.0000 0.0000 0.2419  4 Lu 3.66, 4 Pm 3.77, 4 Ac 3.89
Ac 0.0000 0.0000 0.7581  4 Lu 3.66, 4 Pm 3.77, 4 Ac 3.89
Pm 0.5000 0.5000 0.5000  8 Ac 3.77, 4 Pm 3.89
Lu 0.5000 0.5000 0.0000  8 Ac 3.66, 4 Lu 3.89

Summary:
- symmetry = P4/mmm, No. 123
- ΔH_f (0 K) (eV/atom) = 0.052

=====

5.
AcPmLuSc | PBE-GGA | relaxed

Lattice parameters (Å, degrees): 5.7138 5.7138 5.7138 60.00 60.00 60.00
Closest atoms and distances in Å follow each position.
Fractional coordinates of all 4 atoms:
Ac 0.0000 0.0000 0.0000  4 Lu 3.50, 4 Sc 3.50
Pm 0.5000 0.5000 0.5000  4 Lu 3.50, 4 Sc 3.50
Lu 0.7500 0.7500 0.7500  4 Pm 3.50, 4 Ac 3.50
Sc 0.2500 0.2500 0.2500  4 Ac 3.50, 4 Pm 3.50

Summary:
- symmetry = F-43m, No. 216
- ΔH_f (0 K) (eV/atom) = 0.100

=====

6.
AcPmLuSn | PBE-GGA | relaxed

Lattice parameters (Å, degrees): 5.5692 5.5692 5.5692 60.00 60.00 60.00
Closest atoms and distances in Å follow each position.
Fractional coordinates of all 4 atoms:
Ac 0.0000 0.0000 0.0000  4 Lu 3.41, 4 Pm 3.41
Pm 0.2500 0.2500 0.2500  4 Ac 3.41, 4 Sn 3.41
Lu 0.7500 0.7500 0.7500  4 Ac 3.41, 4 Sn 3.41
Sn 0.5000 0.5000 0.5000  4 Pm 3.41, 4 Lu 3.41

Summary:
- symmetry = F-43m, No. 216
- ΔH_f (0 K) (eV/atom) = -0.147

=====

7.
SrAcPmLu | PBE-GGA | relaxed

Lattice parameters (Å, degrees): 6.0498 6.0498 6.0498 60.00 60.00 60.00
Closest atoms and distances in Å follow each position.
Fractional coordinates of all 4 atoms:
Sr 0.0000 0.0000 0.0000  4 Pm 3.70, 4 Ac 3.70
Ac 0.2500 0.2500 0.2500  4 Sr 3.70, 4 Lu 3.70
Pm 0.7500 0.7500 0.7500  4 Sr 3.70, 4 Lu 3.70
Lu 0.5000 0.5000 0.5000  4 Pm 3.70, 4 Ac 3.70

Summary:
- symmetry = F-43m, No. 216
- ΔH_f (0 K) (eV/atom) = 0.193

=====

8.
AcPmLuTh | PBE-GGA | relaxed

Lattice parameters (Å, degrees): 5.8212 5.8212 5.8212 60.00 60.00 60.00
Closest atoms and distances in Å follow each position.
Fractional coordinates of all 4 atoms:
Ac 0.0000 0.0000 0.0000  4 Pm 3.56, 4 Lu 3.56
Pm 0.7500 0.7500 0.7500  4 Ac 3.56, 4 Th 3.56
Lu 0.2500 0.2500 0.2500  4 Ac 3.56, 4 Th 3.56
Th 0.5000 0.5000 0.5000  4 Pm 3.56, 4 Lu 3.56

Summary:
- symmetry = F-43m, No. 216
- ΔH_f (0 K) (eV/atom) = 0.159

=====

9.
AcPmLuTl | PBE-GGA | relaxed

Lattice parameters (Å, degrees): 5.6353 5.6353 5.6353 60.00 60.00 60.00
Closest atoms and distances in Å follow each position.
Fractional coordinates of all 4 atoms:
Ac 0.0000 0.0000 0.0000  4 Lu 3.45, 4 Pm 3.45
Pm 0.2500 0.2500 0.2500  4 Tl 3.45, 4 Ac 3.45
Lu 0.7500 0.7500 0.7500  4 Tl 3.45, 4 Ac 3.45
Tl 0.5000 0.5000 0.5000  4 Pm 3.45, 4 Lu 3.45

Summary:
- symmetry = F-43m, No. 216
- ΔH_f (0 K) (eV/atom) = 0.060

=====

10.
AcPmLuZn | PBE-GGA | relaxed

Lattice parameters (Å, degrees): 5.5355 5.5355 5.5355 60.00 60.00 60.00
Closest atoms and distances in Å follow each position.
Fractional coordinates of all 4 atoms:
Ac 0.0000 0.0000 0.0000  4 Pm 3.39, 4 Lu 3.39
Pm 0.7500 0.7500 0.7500  4 Ac 3.39, 4 Zn 3.39
Lu 0.2500 0.2500 0.2500  4 Ac 3.39, 4 Zn 3.39
Zn 0.5000 0.5000 0.5000  4 Pm 3.39, 4 Lu 3.39

Summary:
- symmetry = F-43m, No. 216
- ΔH_f (0 K) (eV/atom) = 0.197

=====

11.
Ac2PrLu | PBE-GGA | relaxed

Lattice parameters (Å, degrees): 3.8972 3.8972 10.1093 90.00 90.00 90.00
Closest atoms and distances in Å follow each position.
Fractional coordinates of all 4 atoms:
Ac 0.0000 0.0000 0.2400  4 Lu 3.67, 4 Pr 3.81, 4 Ac 3.90
Ac 0.0000 0.0000 0.7600  4 Lu 3.67, 4 Pr 3.81, 4 Ac 3.90
Pr 0.5000 0.5000 0.5000  8 Ac 3.81, 4 Pr 3.90
Lu 0.5000 0.5000 0.0000  8 Ac 3.67, 4 Lu 3.90

Summary:
- symmetry = P4/mmm, No. 123
- ΔH_f (0 K) (eV/atom) = 0.049

=====

12.
Ac2PrLu | PBE-GGA | relaxed

Lattice parameters (Å, degrees): 6.0282 6.0282 6.0282 60.00 60.00 60.00
Closest atoms and distances in Å follow each position.
Fractional coordinates of all 4 atoms:
Ac 0.2500 0.2500 0.2500  4 Lu 3.69, 4 Pr 3.69
Ac 0.7500 0.7500 0.7500  4 Lu 3.69, 4 Pr 3.69
Pr 0.0000 0.0000 0.0000  8 Ac 3.69
Lu 0.5000 0.5000 0.5000  8 Ac 3.69

Summary:
- symmetry = Fm-3m, No. 225
- ΔH_f (0 K) (eV/atom) = 0.113

=====

13.
Ac2PrLu | PBE-GGA | relaxed

Lattice parameters (Å, degrees): 13.4017 13.4017 13.4017 15.93 15.93 15.93
Closest atoms and distances in Å follow each position.
Fractional coordinates of all 4 atoms:
Ac 0.0871 0.0871 0.0871  1 Lu 3.46, 6 Ac 3.71, 3 Pr 3.82
Ac 0.9129 0.9129 0.9129  1 Lu 3.46, 6 Ac 3.71, 3 Pr 3.82
Pr 0.5000 0.5000 0.5000  6 Pr 3.71, 6 Ac 3.82
Lu 0.0000 0.0000 0.0000  2 Ac 3.46, 6 Lu 3.71

Summary:
- symmetry = R-3m, No. 166
- ΔH_f (0 K) (eV/atom) = 0.264

=====

14.
AcPrLu2 | PBE-GGA | relaxed

Lattice parameters (Å, degrees): 11.8165 11.8165 11.8165 17.97 17.97 17.97
Closest atoms and distances in Å follow each position.
Fractional coordinates of all 4 atoms:
Ac 0.0000 0.0000 0.0000  6 Lu 3.66, 6 Ac 3.69
Pr 0.5000 0.5000 0.5000  6 Lu 3.55, 6 Pr 3.69
Lu 0.2481 0.2481 0.2481  3 Pr 3.55, 3 Ac 3.66, 6 Lu 3.69
Lu 0.7519 0.7519 0.7519  3 Pr 3.55, 3 Ac 3.66, 6 Lu 3.69

Summary:
- symmetry = R-3m, No. 166
- ΔH_f (0 K) (eV/atom) = 0.064

=====

15.
AcPrLu2 | PBE-GGA | relaxed

Lattice parameters (Å, degrees): 5.3397 5.3397 4.8254 90.00 90.00 90.00
Closest atoms and distances in Å follow each position.
Fractional coordinates of all 4 atoms:
Ac 0.0000 0.0000 0.0000  8 Lu 3.60, 4 Pr 3.78
Pr 0.5000 0.5000 0.0000  8 Lu 3.60, 4 Ac 3.78
Lu 0.0000 0.5000 0.5000  4 Ac 3.60, 4 Pr 3.60, 4 Lu 3.78
Lu 0.5000 0.0000 0.5000  4 Ac 3.60, 4 Pr 3.60, 4 Lu 3.78

Summary:
- symmetry = P4/mmm, No. 123
- ΔH_f (0 K) (eV/atom) = 0.054

=====

16.
AcPrLu2 | PBE-GGA | relaxed

Lattice parameters (Å, degrees): 5.8208 5.8208 5.8208 60.00 60.00 60.00
Closest atoms and distances in Å follow each position.
Fractional coordinates of all 4 atoms:
Ac 0.0000 0.0000 0.0000  8 Lu 3.56
Pr 0.5000 0.5000 0.5000  8 Lu 3.56
Lu 0.2500 0.2500 0.2500  4 Pr 3.56, 4 Ac 3.56
Lu 0.7500 0.7500 0.7500  4 Ac 3.56, 4 Pr 3.56

Summary:
- symmetry = Fm-3m, No. 225
- ΔH_f (0 K) (eV/atom) = 0.087

=====

17.
Ac4PrLu | PBE-GGA | relaxed

Lattice parameters (Å, degrees): 7.1513 7.1513 7.1513 60.00 60.00 60.00
Closest atoms and distances in Å follow each position.
Fractional coordinates of all 6 atoms:
Ac 0.3758 0.3758 0.3758  6 Ac 3.55-3.60
Ac 0.3758 0.3758 0.8725  6 Ac 3.55-3.60
Ac 0.3758 0.8725 0.3758  6 Ac 3.55-3.60
Ac 0.8725 0.3758 0.3758  6 Ac 3.55-3.60
Pr 0.0000 0.0000 0.0000  12 Ac 4.20, 4 Lu 4.38
Lu 0.7500 0.7500 0.7500  12 Ac 4.19, 4 Pr 4.38

Summary:
- symmetry = F-43m, No. 216
- ΔH_f (0 K) (eV/atom) = 0.366

=====

18.
Ac2PrLu | PBE-GGA | relaxed

Lattice parameters (Å, degrees): 5.4003 5.4003 5.2429 90.00 90.00 90.00
Closest atoms and distances in Å follow each position.
Fractional coordinates of all 4 atoms:
Ac 0.0000 0.5000 0.0000  4 Pr 3.76, 4 Lu 3.76, 4 Ac 3.82
Ac 0.5000 0.0000 0.0000  4 Pr 3.76, 4 Lu 3.76, 4 Ac 3.82
Pr 0.0000 0.0000 0.5000  8 Ac 3.76, 4 Lu 3.82
Lu 0.5000 0.5000 0.5000  8 Ac 3.76, 4 Pr 3.82

Summary:
- symmetry = P4/mmm, No. 123
- ΔH_f (0 K) (eV/atom) = 0.042

=====

19.
AcPrLu2 | PBE-GGA | relaxed

Lattice parameters (Å, degrees): 4.1671 4.1671 8.0009 90.00 90.00 90.00
Closest atoms and distances in Å follow each position.
Fractional coordinates of all 4 atoms:
Ac 0.0000 0.0000 0.0000  8 Lu 3.63, 2 Pr 4.00
Pr 0.0000 0.0000 0.5000  8 Lu 3.50
Lu 0.5000 0.5000 0.2646  4 Pr 3.50, 4 Ac 3.63, 1 Lu 3.77
Lu 0.5000 0.5000 0.7354  4 Pr 3.50, 4 Ac 3.63, 1 Lu 3.77

Summary:
- symmetry = P4/mmm, No. 123
- ΔH_f (0 K) (eV/atom) = 0.073

=====

20.
SrAcPrLu | PBE-GGA | relaxed

Lattice parameters (Å, degrees): 6.0734 6.0734 6.0734 60.00 60.00 60.00
Closest atoms and distances in Å follow each position.
Fractional coordinates of all 4 atoms:
Sr 0.0000 0.0000 0.0000  4 Pr 3.72, 4 Ac 3.72
Ac 0.2500 0.2500 0.2500  4 Sr 3.72, 4 Lu 3.72
Pr 0.7500 0.7500 0.7500  4 Lu 3.72, 4 Sr 3.72
Lu 0.5000 0.5000 0.5000  4 Pr 3.72, 4 Ac 3.72

Summary:
- symmetry = F-43m, No. 216
- ΔH_f (0 K) (eV/atom) = 0.179

=====

Table of final energy (Ry/atom), in record order: -0.31366, -0.31709, -0.28680, -0.31752, -0.35481, -0.33022, -0.26256, -0.37051, -0.28490, -0.25479, -0.31826, -0.31354, -0.30245, -0.32478, -0.32546, -0.32306, -0.28831, -0.31882, -0.32408, -0.26414